Record 1
Computed, not measured: crystalline TmScIn at its relaxed geometry at the PBE level of DFT.

For the energy above the most stable polymorph in this dataset, the calculation gives 0.029 eV per atom.

Unit cell a=5.2061 b=5.2061 c=6.4168 alpha=90.00 beta=90.00 gamma=120.00
Last column: magnetic moment on the atom in μB.
Sites, in units of the cell vectors:
In 0.3333 0.6667 0.2500  -0.01
In 0.6667 0.3333 0.7500  -0.01
Sc 0.0000 0.0000 0.0000  0.28
Sc 0.0000 0.0000 0.5000  0.27
Tm 0.6667 0.3333 0.2500  0.16
Tm 0.3333 0.6667 0.7500  0.16

***

Record 2
Computed, not measured: crystalline TmScIn at its relaxed geometry at the PBE level of DFT.

For the energy above the most stable polymorph in this dataset, the calculation gives 0.310 eV per atom.

Unit cell a=4.9869 b=4.9869 c=4.9869 alpha=60.00 beta=60.00 gamma=60.00
Sites, in units of the cell vectors:
In 0.0000 0.0000 0.0000
Sc 0.2500 0.2500 0.2500
Tm 0.7500 0.7500 0.7500

***

Record 3
Computed, not measured: crystalline Tm2ScZnIn2 at its relaxed geometry at the PBE level of DFT.

The calculated total energy comes out at -4.060 eV/atom.

Unit cell a=5.0880 b=5.0880 c=6.2749 alpha=90.00 beta=90.00 gamma=120.00
Sites, in units of the cell vectors:
In 0.3333 0.6667 0.1687
In 0.6667 0.3333 0.8313
Sc 0.0000 0.0000 0.0000
Tm 0.6667 0.3333 0.3360
Tm 0.3333 0.6667 0.6640
Zn 0.0000 0.0000 0.5000